Entry 1:
A plane-wave DFT calculation with PBE-GGA was carried out for a geometry-optimized Li2In2Pb3 structure.

Unit cell a=5.886 b=5.885 c=8.389 alpha=96.67 beta=109.28 gamma=131.45
Element x y z (fractional)
In 0.873 0.471 0.171
In 0.127 0.529 0.829
Pb 0.000 0.000 0.000
Pb 0.696 0.888 0.299
Pb 0.304 0.112 0.701
Li 0.564 0.295 0.425
Li 0.436 0.705 0.575

Calculated values
mass density: 7.930 Mg/m³
crystal system: triclinic
ΔH_f (0 K): -0.12 eV per atom


Entry 2:
A plane-wave DFT calculation with PBE-GGA was carried out for a geometry-optimized Ac2Nd8Y structure.

Unit cell a=5.789 b=10.695 c=10.695 alpha=39.31 beta=93.27 gamma=93.27
Element x y z (fractional)
Nd 0.733 0.859 0.386
Nd 0.267 0.141 0.614
Nd 0.733 0.386 0.859
Nd 0.224 0.177 0.177
Nd 0.267 0.614 0.141
Nd 0.765 0.456 0.456
Nd 0.776 0.823 0.823
Nd 0.235 0.544 0.544
Ac 0.741 0.281 0.281
Ac 0.259 0.719 0.719
Y 0.000 0.000 0.000

Calculated values
mass density: 6.730 Mg/m³
crystal system: monoclinic
ΔH_f (0 K): 0.18 eV per atom


Question: The lowest mass density belongs to which entry?
Answer: Ac2Nd8Y


Question: Among the records above, which one has the lowest mass density?
Answer: Ac2Nd8Y